This record from the Alexandria database describes crystalline KLaCo2Cl8 at its relaxed geometry. The functional is PBE-GGA.

Formation energy (no corrections)   -16.361 eV/f.u.
Spin magnetization   0.500 μB per atom
E_tot   -154.11 eV for the cell shown

a b c (Å): 6.5500 6.5500 28.9746
angles (deg): 90.00 90.00 120.00
With the nearest neighbours (Å) after each atom.
Space group R-3 (No. 148, hexagonal axes)
Asymmetric unit:
K (0.0000, 0.0000, 0.0000) x3  12 Cl 3.79-3.81
La (0.0000, 0.0000, 0.5000) x3  6 Cl 2.82
Co (0.0000, 0.0000, 0.2511) x6  4 Cl 2.18-2.28
Cl (0.0000, 0.0000, 0.3264) x6  1 Co 2.18
Cl (0.0007, 0.3460, 0.5578) x18  1 Co 2.28

***

This record from the Alexandria database describes crystalline Pm4Mg3Al at its relaxed geometry. The functional is PBE-GGA.

ΔH_f (0 K)   -181 meV per atom
Spin magnetization   0.000 μB per atom
DOS(E_F)   25.8 states/eV per cell
E_tot   -86.92 eV for the cell shown

a b c (Å): 5.3917 5.3917 26.4951
angles (deg): 90.00 90.00 120.00
With the nearest neighbours (Å) after each atom.
Space group R-3m (No. 166, hexagonal axes)
Asymmetric unit:
Pm (0.0000, 0.0000, 0.1218) x6  1 Al 3.23, 7 Mg 3.26-3.33
Pm (0.0000, 0.0000, 0.3720) x6  3 Al 3.28, 5 Mg 3.30-3.39
Mg (0.0000, 0.0000, 0.2474) x6  8 Pm 3.26-3.35
Mg (0.0000, 0.0000, 0.5000) x3  8 Pm 3.33-3.39
Al (0.0000, 0.0000, 0.0000) x3  8 Pm 3.23-3.28

***

This record from the Alexandria database describes crystalline K2HgSb at its relaxed geometry. The functional is PBE-GGA.

Formation energy (no corrections)   -0.797 eV/f.u.
Spin magnetization   0.000 μB per atom
DOS(E_F)   2.1 states/eV per cell
E_tot   -7.42 eV for the cell shown

a b c (Å): 3.6810 5.7480 6.9922
angles (deg): 90.00 90.00 90.00
With the nearest neighbours (Å) after each atom.
Space group Pmm2 (No. 25)
Asymmetric unit:
K (0.0000, 0.0000, 0.0000) x1  2 Sb 3.40-3.59, 4 Hg 3.58, 2 K 3.68
K (0.5000, 0.5000, 0.3716) x1  2 Hg 3.31-3.68, 4 Sb 3.55, 2 K 3.68
Hg (0.5000, 0.5000, 0.8451) x1  6 K 3.31-3.68, 2 Hg 3.68
Sb (0.0000, 0.0000, 0.5140) x1  6 K 3.40-3.59, 2 Sb 3.68

***

This record from the Alexandria database describes crystalline Zr2CdTcCl at its relaxed geometry. The functional is PBE-GGA.

Formation energy (no corrections)   1.132 eV/f.u.
Spin magnetization   0.000 μB per atom
DOS(E_F)   5.6 states/eV per cell
E_tot   -29.09 eV for the cell shown

a b c (Å): 4.7943 4.7943 4.4292
angles (deg): 90.00 90.00 90.00
With the nearest neighbours (Å) after each atom.
Space group P4/mmm (No. 123)
Asymmetric unit:
Zr (0.0000, 0.5000, 0.0000) x2  2 Cl 2.40
Cd (0.0000, 0.0000, 0.5000) x1  8 Zr 3.26, 4 Tc 3.39
Tc (0.5000, 0.5000, 0.5000) x1  2 Cl 2.21
Cl (0.5000, 0.5000, 0.0000) x1  2 Tc 2.21, 4 Zr 2.40

***

This record from the Alexandria database describes crystalline Tb4InGa12 at its relaxed geometry. The functional is PBE-GGA.

ΔH_f (0 K)   -474 meV per atom
Spin magnetization   0.000 μB per atom
DOS(E_F)   17.7 states/eV per cell
E_tot   -131.28 eV for the cell shown

a b c (Å): 8.8309 8.8309 8.8309
angles (deg): 90.00 90.00 90.00
With the nearest neighbours (Å) after each atom.
Space group Im-3m (No. 229)
Asymmetric unit:
Tb (0.2500, 0.2500, 0.2500) x8  12 Ga 3.12-3.18
In (0.0000, 0.0000, 0.0000) x2  6 Ga 2.80
Ga (0.0000, 0.0000, 0.3176) x12  4 Ga 2.73, 1 In 2.80
Ga (0.0000, 0.2500, 0.5000) x12  4 Ga 2.73

***

This record from the Alexandria database describes crystalline DyYTlGa at its relaxed geometry. The functional is PBE-GGA.

ΔH_f (0 K)   -471 meV per atom
Spin magnetization   0.000 μB per atom
DOS(E_F)   1.6 states/eV per cell
E_tot   -18.34 eV for the cell shown

a b c (Å): 3.5914 3.5914 7.7966
angles (deg): 90.00 90.00 90.00
With the nearest neighbours (Å) after each atom.
Space group P4mm (No. 99)
Asymmetric unit:
Dy (0.0000, 0.0000, 0.0000) x1  4 Ga 3.11, 4 Tl 3.29
Y (0.0000, 0.0000, 0.5358) x1  4 Ga 3.12, 4 Tl 3.29
Tl (0.5000, 0.5000, 0.2675) x1  4 Dy 3.29, 4 Y 3.29, 4 Tl 3.59
Ga (0.5000, 0.5000, 0.7690) x1  4 Dy 3.11, 4 Y 3.12

***

Among the records above, which one has the highest E_tot?
K2HgSb